Entry 1:
# FeTcRu2 PBE-GGA optimized geometry
# space-group type	R-3m
# ΔE_f	45	kJ/mol of formula units
# distance to the lowest polymorph of the same formula	21.0	meV per atom
data_FeTcRu2
_chemical_formula_sum 'Fe1 Tc1 Ru2'
_symmetry_space_group_name_H-M 'P 1'
_symmetry_Int_Tables_number 1
_symmetry_space_group_name_Hall 'P 1'
_cell_length_a 8.876
_cell_length_b 8.876
_cell_length_c 8.876
_cell_angle_alpha 17.47
_cell_angle_beta 17.47
_cell_angle_gamma 17.47
loop_
_atom_site_label
_atom_site_type_symbol
_atom_site_fract_x
_atom_site_fract_y
_atom_site_fract_z
_atom_site_occupancy
Fe1 Fe 0.000 0.000 0.000 1
Tc1 Tc 0.500 0.500 0.500 1
Ru1 Ru 0.251 0.251 0.251 1
Ru2 Ru 0.749 0.749 0.749 1

Entry 2:
# NiS2N2 PBE-GGA optimized geometry
# space-group type	P4/mmm
# distance to the lowest polymorph of the same formula	1956.4	meV per atom
data_NiS2N2
_chemical_formula_sum 'Ni1 S2 N2'
_symmetry_space_group_name_H-M 'P 1'
_symmetry_Int_Tables_number 1
_symmetry_space_group_name_Hall 'P 1'
_cell_length_a 4.671
_cell_length_b 4.671
_cell_length_c 3.373
_cell_angle_alpha 90.00
_cell_angle_beta 90.00
_cell_angle_gamma 90.00
loop_
_atom_site_label
_atom_site_type_symbol
_atom_site_fract_x
_atom_site_fract_y
_atom_site_fract_z
_atom_site_occupancy
Ni1 Ni 0.000 0.000 0.000 1
S1 S 0.000 0.500 0.000 1
S2 S 0.500 0.000 0.000 1
N1 N 0.000 0.000 0.500 1
N2 N 0.500 0.500 0.500 1

Entry 3:
# BaTb2CuO5 PBE-GGA optimized geometry
# space-group type	I4/mcm
data_BaTb2CuO5
_chemical_formula_sum 'Ba2 Tb4 Cu2 O10'
_symmetry_space_group_name_H-M 'P 1'
_symmetry_Int_Tables_number 1
_symmetry_space_group_name_Hall 'P 1'
_cell_length_a 7.446
_cell_length_b 7.446
_cell_length_c 7.446
_cell_angle_alpha 127.58
_cell_angle_beta 127.58
_cell_angle_gamma 77.30
loop_
_atom_site_label
_atom_site_type_symbol
_atom_site_fract_x
_atom_site_fract_y
_atom_site_fract_z
_atom_site_occupancy
Ba1 Ba 0.250 0.250 0.000 1
Ba2 Ba 0.750 0.750 0.000 1
Tb1 Tb 0.173 0.673 0.845 1
Tb2 Tb 0.327 0.173 0.500 1
Tb3 Tb 0.673 0.827 0.500 1
Tb4 Tb 0.827 0.327 0.155 1
Cu1 Cu 0.250 0.750 0.500 1
Cu2 Cu 0.750 0.250 0.500 1
O1 O 0.000 0.000 0.000 1
O2 O 0.017 0.234 0.500 1
O3 O 0.234 0.734 0.217 1
O4 O 0.266 0.483 0.500 1
O5 O 0.483 0.983 0.217 1
O6 O 0.500 0.500 0.000 1
O7 O 0.517 0.017 0.783 1
O8 O 0.734 0.517 0.500 1
O9 O 0.766 0.266 0.783 1
O10 O 0.983 0.766 0.500 1

Entry 4:
# VTe PBE-GGA optimized geometry
# space-group type	Fddd
data_VTe
_chemical_formula_sum 'V4 Te4'
_symmetry_space_group_name_H-M 'P 1'
_symmetry_Int_Tables_number 1
_symmetry_space_group_name_Hall 'P 1'
_cell_length_a 6.658
_cell_length_b 6.535
_cell_length_c 6.383
_cell_angle_alpha 62.03
_cell_angle_beta 60.11
_cell_angle_gamma 57.86
loop_
_atom_site_label
_atom_site_type_symbol
_atom_site_fract_x
_atom_site_fract_y
_atom_site_fract_z
_atom_site_occupancy
V1 V 0.007 0.007 0.243 1
V2 V 0.243 0.243 0.007 1
V3 V 0.757 0.757 0.993 1
V4 V 0.993 0.993 0.757 1
Te1 Te 0.149 0.601 0.601 1
Te2 Te 0.399 0.851 0.851 1
Te3 Te 0.601 0.149 0.149 1
Te4 Te 0.851 0.399 0.399 1

It is found that the total DFT energy (no corrections) values, taken in the order of the records, are -36.9 -21.5 -63.6 -12.2 eV/f.u..
It is found that the magnetization values, taken in the order of the records, are 2.68 0.79 2.04 0.00 μB/cell.